Entry 1:
Below is an optimized crystal structure of Tb2Tm2Te7, with properties calculated at the PBE level.

Lattice parameters (Å, degrees): 4.213 9.550 9.550 61.83 77.26 77.26
Fractional coordinates of all 11 atoms:
Tb (0.742, 0.855, 0.660)
Tb (0.258, 0.340, 0.145)
Tm (0.000, 0.771, 0.229)
Tm (0.500, 0.324, 0.676)
Te (0.824, 0.072, 0.279)
Te (0.859, 0.426, 0.857)
Te (0.500, 0.004, 0.996)
Te (0.608, 0.491, 0.292)
Te (0.392, 0.708, 0.509)
Te (0.176, 0.721, 0.928)
Te (0.141, 0.143, 0.574)

Summary:
The calculated density comes out at 7.86 g/cm3. The total energy comes out at -4.83 eV/atom. The value obtained for the formation energy (no corrections) is -1.1801 eV per atom.

=====

Entry 2:
Below is an optimized crystal structure of NdSm2In, with properties calculated at the PBE level.

Lattice parameters (Å, degrees): 3.713 3.713 11.159 80.42 80.42 60.00
Fractional coordinates of all 4 atoms:
Nd (0.500, 0.500, 0.500)
Sm (0.076, 0.076, 0.772)
Sm (0.258, 0.258, 0.227)
In (0.667, 0.667, 0.000)

Summary:
The calculation puts the energy of formation from the pure elements at -3.00 kcal/mol of atoms. The calculated density comes out at 7.11 g/cm3. The total energy comes out at -4.37 eV/atom. The offset from the most stable computed form comes out at 141 meV per atom.

=====

Entry 3:
Below is an optimized crystal structure of Cr4AgBr, with properties calculated at the PBE level.

Lattice parameters (Å, degrees): 4.971 4.971 4.971 60.00 60.00 60.00
Fractional coordinates of all 6 atoms:
Cr (0.859, 0.380, 0.380)
Cr (0.380, 0.380, 0.859)
Cr (0.380, 0.859, 0.380)
Cr (0.380, 0.380, 0.380)
Ag (0.750, 0.750, 0.750)
Br (0.000, 0.000, 0.000)

Summary:
The calculated density comes out at 7.57 g/cm3. The total energy comes out at -6.24 eV/atom. The value obtained for the formation energy (no corrections) is 0.9253 eV per atom.

=====

Entry 4:
Below is an optimized crystal structure of LaCeU2N4, with properties calculated at the PBE level.

Lattice parameters (Å, degrees): 5.049 5.049 6.069 114.58 114.58 90.00
Fractional coordinates of all 8 atoms:
La (0.500, 0.500, 0.000)
Ce (0.750, 0.250, 0.500)
U (0.250, 0.750, 0.500)
U (0.000, 0.000, 0.000)
N (0.018, 0.518, 0.036)
N (0.482, 0.982, 0.964)
N (0.771, 0.771, 0.543)
N (0.229, 0.229, 0.457)

Summary:
The calculated density comes out at 10.77 g/cm3. The total energy comes out at -9.66 eV/atom. The value obtained for the formation energy (no corrections) is -1.3225 eV per atom.

=====

Entry 5:
Below is an optimized crystal structure of KSn4Pb, with properties calculated at the PBE level.

Lattice parameters (Å, degrees): 6.397 6.397 6.397 60.00 60.00 60.00
Fractional coordinates of all 6 atoms:
Pb (0.000, 0.000, 0.000)
K (0.250, 0.250, 0.250)
Sn (0.625, 0.625, 0.125)
Sn (0.625, 0.125, 0.625)
Sn (0.625, 0.625, 0.625)
Sn (0.125, 0.625, 0.625)

Summary:
The calculation puts the energy of formation from the pure elements at -0.63 kcal/mol of atoms. The calculated density comes out at 6.47 g/cm3. The total energy comes out at -3.50 eV/atom. The offset from the most stable computed form comes out at 55 meV per atom.

=====

Entry 6:
Below is an optimized crystal structure of Mg2NbTl, with properties calculated at the PBE level.

Lattice parameters (Å, degrees): 3.117 3.117 10.884 81.77 81.77 60.00
Fractional coordinates of all 4 atoms:
Mg (0.087, 0.087, 0.739)
Mg (0.913, 0.913, 0.261)
Tl (0.500, 0.500, 0.500)
Nb (0.000, 0.000, 0.000)

Summary:
The calculation puts the energy of formation from the pure elements at 11.61 kcal/mol of atoms. The calculated density comes out at 6.36 g/cm3. The total energy comes out at -3.40 eV/atom. The offset from the most stable computed form comes out at 50 meV per atom.

=====

Q: Which value of calculated density does entry 5 give?
A: 6.47 g/cm3

=====

Q: What is the formula in the third record?
A: Cr4AgBr